# 1
## MgTePtO (PBE)

Data for a relaxed MgTePtO crystal.

a b c (Å): 5.6730 8.1335 5.6749
angles (deg): 90.00 90.00 90.00
With the nearest neighbours (Å) after each atom.
Fractional positions:
Mg 0.2500 0.0053 0.0000  4 O 2.02
Mg 0.2500 0.0053 0.5000  4 O 2.02
Mg 0.7500 0.9947 0.0000  4 O 2.02
Mg 0.7500 0.9947 0.5000  4 O 2.02
Te 0.0009 0.6444 0.2531  5 Pt 2.61-2.85
Te 0.4991 0.6444 0.7531  5 Pt 2.61-2.85
Te 0.5009 0.3556 0.2531  5 Pt 2.61-2.85
Te 0.9991 0.3556 0.7531  5 Pt 2.61-2.85
Pt 0.0000 0.3230 0.2532  1 O 2.38, 1 Te 2.61
Pt 0.0000 0.6770 0.7532  1 O 2.38, 1 Te 2.61
Pt 0.5000 0.3230 0.7532  1 O 2.38, 1 Te 2.61
Pt 0.5000 0.6770 0.2532  1 O 2.38, 1 Te 2.61
O 0.0013 0.9692 0.7501  4 Mg 2.02
O 0.4987 0.9692 0.2501  4 Mg 2.02
O 0.5013 0.0308 0.7501  4 Mg 2.02
O 0.9987 0.0308 0.2501  4 Mg 2.02

Calculated values
* DFT total energy: -5.1555 eV/atom

=====

# 2
## AlAuSeO (PBE)

Data for a relaxed AlAuSeO crystal.

a b c (Å): 3.6767 3.6767 9.4059
angles (deg): 90.00 90.00 90.00
With the nearest neighbours (Å) after each atom.
Fractional positions:
Al 0.2500 0.2500 0.0843  4 O 2.00
Al 0.7500 0.7500 0.9157  4 O 2.00
Au 0.2500 0.7500 0.5000  4 Au 2.60, 4 Se 2.85
Au 0.7500 0.2500 0.5000  4 Au 2.60, 4 Se 2.85
Se 0.2500 0.2500 0.7322  4 Au 2.85, 4 O 3.12, 4 Al 3.12
Se 0.7500 0.7500 0.2678  4 Au 2.85, 4 O 3.12, 4 Al 3.12
O 0.2500 0.7500 0.0000  4 Al 2.00
O 0.7500 0.2500 0.0000  4 Al 2.00

Calculated values
* DFT total energy: -4.7087 eV/atom

=====

# 3
## SmC (PBE)

Data for a relaxed SmC crystal.

a b c (Å): 5.2407 5.2407 5.2407
angles (deg): 90.00 90.00 90.00
With the nearest neighbours (Å) after each atom.
Fractional positions:
Sm 0.0000 0.0000 0.0000  6 C 2.62
Sm 0.0000 0.5000 0.5000  6 C 2.62
Sm 0.5000 0.0000 0.5000  6 C 2.62
Sm 0.5000 0.5000 0.0000  6 C 2.62
C 0.0000 0.0000 0.5000  6 Sm 2.62
C 0.0000 0.5000 0.0000  6 Sm 2.62
C 0.5000 0.0000 0.0000  6 Sm 2.62
C 0.5000 0.5000 0.5000  6 Sm 2.62

Calculated values
* DFT total energy: -6.7586 eV/atom